Entry 1:
This record from the Open Quantum Materials Database describes a relaxed ZnGe crystal. The functional is PBE.

Cell and atoms, written as CIF:
```
data_ZnGe
_cell_length_a 5.032
_cell_length_b 2.919
_cell_length_c 4.793
_cell_angle_alpha 90.00
_cell_angle_beta 90.00
_cell_angle_gamma 90.00
_space_group_name_H-M_alt 'P 1'
_space_group_IT_number 1
_space_group_name_Hall 'P 1'
loop_
_atom_site_label
_atom_site_type_symbol
_atom_site_fract_x
_atom_site_fract_y
_atom_site_fract_z
Zn1 Zn 0.330 0.000 0.500
Zn2 Zn 0.003 0.000 0.000
Ge1 Ge 0.496 0.500 0.000
Ge2 Ge 0.837 0.500 0.500
```

Values from the calculation:
- electronic total energy (eV/atom) = -2.71
- symmetry = Pmma

***

Entry 2:
This record from the Open Quantum Materials Database describes a relaxed NaHoBr4 crystal. The functional is PBE.

Cell and atoms, written as CIF:
```
data_NaHoBr4
_cell_length_a 6.710
_cell_length_b 8.162
_cell_length_c 7.139
_cell_angle_alpha 90.00
_cell_angle_beta 92.32
_cell_angle_gamma 90.00
_space_group_name_H-M_alt 'P 1'
_space_group_IT_number 1
_space_group_name_Hall 'P 1'
loop_
_atom_site_label
_atom_site_type_symbol
_atom_site_fract_x
_atom_site_fract_y
_atom_site_fract_z
Br1 Br 0.750 0.122 0.593
Br2 Br 0.230 0.396 0.434
Br3 Br 0.770 0.604 0.566
Br4 Br 0.750 0.878 0.093
Br5 Br 0.250 0.122 0.907
Br6 Br 0.230 0.604 0.934
Br7 Br 0.770 0.396 0.066
Br8 Br 0.250 0.878 0.407
Ho1 Ho 0.000 0.652 0.250
Ho2 Ho 0.000 0.348 0.750
Na1 Na 0.500 0.146 0.250
Na2 Na 0.500 0.854 0.750
```

Values from the calculation:
- electronic total energy (eV/atom) = -3.85
- symmetry = P2/c

***

Entry 3:
This record from the Open Quantum Materials Database describes a relaxed HoTmZn4 crystal. The functional is PBE.

Cell and atoms, written as CIF:
```
data_HoTmZn4
_cell_length_a 3.440
_cell_length_b 4.445
_cell_length_c 7.683
_cell_angle_alpha 90.00
_cell_angle_beta 90.01
_cell_angle_gamma 90.00
_space_group_name_H-M_alt 'P 1'
_space_group_IT_number 1
_space_group_name_Hall 'P 1'
loop_
_atom_site_label
_atom_site_type_symbol
_atom_site_fract_x
_atom_site_fract_y
_atom_site_fract_z
Zn1 Zn 0.501 0.000 0.334
Zn2 Zn 0.499 0.000 0.666
Zn3 Zn 0.499 0.500 0.168
Zn4 Zn 0.501 0.500 0.832
Tm1 Tm 0.000 0.500 0.500
Ho1 Ho 0.000 0.000 0.000
```

Values from the calculation:
- energy of formation (eV/atom) = -0.385
- electronic total energy (eV/atom) = -2.74
- symmetry = Pmmm

***

Entry 4:
This record from the Open Quantum Materials Database describes a relaxed Hf4AsPC2 crystal. The functional is PBE.

Cell and atoms, written as CIF:
```
data_Hf4AsPC2
_cell_length_a 3.423
_cell_length_b 3.423
_cell_length_c 12.273
_cell_angle_alpha 90.00
_cell_angle_beta 90.00
_cell_angle_gamma 120.00
_space_group_name_H-M_alt 'P 1'
_space_group_IT_number 1
_space_group_name_Hall 'P 1'
loop_
_atom_site_label
_atom_site_type_symbol
_atom_site_fract_x
_atom_site_fract_y
_atom_site_fract_z
As1 As 0.000 0.000 0.000
C1 C 0.333 0.667 0.254
C2 C 0.333 0.667 0.746
Hf1 Hf 0.667 0.333 0.155
Hf2 Hf 0.000 0.000 0.357
Hf3 Hf 0.667 0.333 0.845
Hf4 Hf 0.000 0.000 0.643
P1 P 0.667 0.333 0.500
```

Values from the calculation:
- electronic total energy (eV/atom) = -9.58
- symmetry = P-6m2

***

Question: Among the records above, which one has the lowest electronic total energy?
Answer: Hf4AsPC2

***

Question: Which formula does entry 3 have?
Answer: HoTmZn4

***

Repeat the third record exactly.
This record from the Open Quantum Materials Database describes a relaxed HoTmZn4 crystal. The functional is PBE.

Cell and atoms, written as CIF:
```
data_HoTmZn4
_cell_length_a 3.440
_cell_length_b 4.445
_cell_length_c 7.683
_cell_angle_alpha 90.00
_cell_angle_beta 90.01
_cell_angle_gamma 90.00
_space_group_name_H-M_alt 'P 1'
_space_group_IT_number 1
_space_group_name_Hall 'P 1'
loop_
_atom_site_label
_atom_site_type_symbol
_atom_site_fract_x
_atom_site_fract_y
_atom_site_fract_z
Zn1 Zn 0.501 0.000 0.334
Zn2 Zn 0.499 0.000 0.666
Zn3 Zn 0.499 0.500 0.168
Zn4 Zn 0.501 0.500 0.832
Tm1 Tm 0.000 0.500 0.500
Ho1 Ho 0.000 0.000 0.000
```

Values from the calculation:
- energy of formation (eV/atom) = -0.385
- electronic total energy (eV/atom) = -2.74
- symmetry = Pmmm